# 1
Entry from the Alexandria database: crystalline CrCoSb2 at its relaxed geometry (PBE).

Results
Calculated volume   77.0 Å³/f.u.
Formation energy from raw total energies   664 meV/atom
Crystal system   cubic
E   -22.318 eV for the cell shown
SG   F-43m, No. 216

Lattice parameters (Å, degrees): 4.776 4.776 4.776 60.00 60.00 60.00
Fractional coordinates of all 4 atoms:
1 Cr 0.000 0.000 0.000
2 Co 0.750 0.750 0.750
3 Sb 0.250 0.250 0.250
4 Sb 0.500 0.500 0.500

# 2
Entry from the Alexandria database: crystalline Ca2TaAl2 at its relaxed geometry (PBE).

Results
Calculated volume   124.0 Å³/f.u.
Crystal system   tetragonal
E   -44.221 eV for the cell shown
SG   P4/mbm, No. 127
Energy of formation from the pure elements   0.2461 eV per atom

Lattice parameters (Å, degrees): 7.109 7.109 4.908 90.00 90.00 90.00
Fractional coordinates of all 10 atoms:
1 Ca 0.177 0.323 0.000
2 Ca 0.323 0.823 0.000
3 Ca 0.677 0.177 0.000
4 Ca 0.823 0.677 0.000
5 Ta 0.000 0.000 0.500
6 Ta 0.500 0.500 0.500
7 Al 0.137 0.637 0.500
8 Al 0.363 0.137 0.500
9 Al 0.637 0.863 0.500
10 Al 0.863 0.363 0.500

# 3
Entry from the Alexandria database: crystalline Hf2ZrCo at its relaxed geometry (PBE).

Results
Calculated volume   76.1 Å³/f.u.
Crystal system   tetragonal
E   -36.303 eV for the cell shown
SG   P4/mmm, No. 123
Energy of formation from the pure elements   -0.1856 eV per atom

Lattice parameters (Å, degrees): 3.212 3.212 7.380 90.00 90.00 90.00
Fractional coordinates of all 4 atoms:
1 Hf 0.000 0.000 0.207
2 Hf 0.000 0.000 0.793
3 Zr 0.500 0.500 0.500
4 Co 0.500 0.500 0.000

# 4
Entry from the Alexandria database: crystalline Ni2RhAu at its relaxed geometry (PBE).

Results
Calculated volume   56.0 Å³/f.u.
Crystal system   cubic
E   -21.123 eV for the cell shown
SG   F-43m, No. 216
Energy of formation from the pure elements   0.2670 eV per atom

Lattice parameters (Å, degrees): 4.295 4.295 4.295 60.00 60.00 60.00
Fractional coordinates of all 4 atoms:
1 Ni 0.000 0.000 0.000
2 Ni 0.250 0.250 0.250
3 Rh 0.750 0.750 0.750
4 Au 0.500 0.500 0.500

# 5
Entry from the Alexandria database: crystalline Ta2GaCo6 at its relaxed geometry (PBE).

Results
Calculated volume   115.8 Å³/f.u.
Crystal system   orthorhombic
E   -69.369 eV for the cell shown
SG   Immm, No. 71
Energy of formation from the pure elements   -0.0002 eV per atom

Lattice parameters (Å, degrees): 6.927 6.927 6.927 157.87 111.12 73.34
Fractional coordinates of all 9 atoms:
1 Ta 0.139 0.139 0.000
2 Ta 0.861 0.861 0.000
3 Ga 0.500 0.000 0.500
4 Co 0.151 0.817 0.334
5 Co 0.225 0.500 0.725
6 Co 0.483 0.817 0.666
7 Co 0.517 0.183 0.334
8 Co 0.775 0.500 0.275
9 Co 0.849 0.183 0.666

# 6
Entry from the Alexandria database: crystalline CsCaAuCl2 at its relaxed geometry (PBE).

Results
Calculated volume   174.8 Å³/f.u.
Formation energy from raw total energies   -1580 meV/atom
Crystal system   tetragonal
E   -17.724 eV for the cell shown
SG   P4/mmm, No. 123

Lattice parameters (Å, degrees): 5.437 5.437 5.913 90.00 90.00 90.00
Fractional coordinates of all 5 atoms:
1 Cs 0.000 0.000 0.000
2 Ca 0.500 0.500 0.500
3 Au 0.500 0.500 0.000
4 Cl 0.000 0.500 0.500
5 Cl 0.500 0.000 0.500

# 7
Entry from the Alexandria database: crystalline RbLi2SeI at its relaxed geometry (PBE).

Results
Calculated volume   173.3 Å³/f.u.
Formation energy from raw total energies   -1138 meV/atom
Crystal system   tetragonal
E   -15.522 eV for the cell shown
SG   P4/mmm, No. 123

Lattice parameters (Å, degrees): 5.012 5.012 6.899 90.00 90.00 90.00
Fractional coordinates of all 5 atoms:
1 Rb 0.000 0.000 0.000
2 Li 0.000 0.500 0.500
3 Li 0.500 0.000 0.500
4 Se 0.000 0.000 0.500
5 I 0.500 0.500 0.000

# 8
Entry from the Alexandria database: crystalline HoHfAl at its relaxed geometry (PBE).

Results
Calculated volume   65.6 Å³/f.u.
Crystal system   trigonal
E   -17.907 eV for the cell shown
SG   P3m1, No. 156
Energy of formation from the pure elements   0.1222 eV per atom

Lattice parameters (Å, degrees): 5.026 5.026 2.997 90.00 90.00 120.00
Fractional coordinates of all 3 atoms:
1 Ho 0.000 0.000 0.000
2 Hf 0.667 0.333 0.002
3 Al 0.333 0.667 0.500

> Which value of calculated volume does entry 2 give?

124.0 Å³/f.u.